An optimized crystal structure of NiWO3. Source: Alexandria via LeMat-Bulk, functional PBE with a Hubbard U.

```
NiWO3
1.0
-2.2885 1.3555 2.5501
-2.8812 -1.2934 -1.8981
0.1969 -3.1728 1.8632
Ni O W
1 3 1
Cartesian
0.0000 0.0000 0.0000
-1.4406 -0.6467 -0.9491
0.0984 -1.5864 0.9316
-1.1442 0.6777 1.2750
-2.4864 -1.5554 1.2576
```

Computed properties:
* calculated volume: 50.0 Å³/cell
* calculated total energy: -25.39 eV per cell